i | Al3TeBr | Alexandria | PBE | optimized geometry; crystal system = cubic; spin magnetization = 0.00 μB per formula unit; volume = 166 Å³ per cell; density = 2.9 g/cm3; space-group type = Pm-3m, No. 221
1.0
5.496 0.000 0.000
0.000 5.496 0.000
0.000 0.000 5.496
Al Te Br
3 1 1
direct
0.000 0.000 0.500
0.000 0.500 0.000
0.500 0.000 0.000
0.500 0.500 0.500
0.000 0.000 0.000


ii | Al3TeBr | Alexandria | PBE | optimized geometry; crystal system = cubic; spin magnetization = 0.00 μB per formula unit; volume = 187 Å³ per cell; density = 2.6 g/cm3; space-group type = Pm-3m, No. 221
1.0
5.717 0.000 0.000
0.000 5.717 0.000
0.000 0.000 5.717
Al Te Br
3 1 1
direct
0.000 0.000 0.500
0.000 0.500 0.000
0.500 0.000 0.000
0.000 0.000 0.000
0.500 0.500 0.500


Taking the most stable structure as the zero point, the relative energies in meV/atom are i 0; ii 35.


i | Al2TlBr | Alexandria | PBE | optimized geometry; crystal system = tetragonal; spin magnetization = 0.00 μB per formula unit; volume = 99 Å³ per cell; density = 5.7 g/cm3; space-group type = P4mm, No. 99
1.0
3.341 0.000 0.000
0.000 3.341 0.000
0.000 0.000 8.885
Al Tl Br
2 1 1
direct
0.000 0.000 0.000
0.500 0.500 0.175
0.500 0.500 0.727
0.000 0.000 0.378


ii | Al2TlBr | Alexandria | PBE | optimized geometry; crystal system = cubic; spin magnetization = 0.00 μB per formula unit; volume = 100 Å³ per cell; density = 5.6 g/cm3; space-group type = F-43m, No. 216
1.0
0.000 3.687 3.687
3.687 0.000 3.687
3.687 3.687 0.000
Al Tl Br
2 1 1
direct
0.000 0.000 0.000
0.250 0.250 0.250
0.750 0.750 0.750
0.500 0.500 0.500


iii | Al2TlBr | Alexandria | PBE | optimized geometry; crystal system = tetragonal; spin magnetization = 0.00 μB per formula unit; volume = 103 Å³ per cell; density = 5.5 g/cm3; space-group type = I-4m2, No. 119
1.0
-2.250 2.250 5.089
2.250 -2.250 5.089
2.250 2.250 -5.089
Al Tl Br
2 1 1
direct
0.000 0.000 0.000
0.750 0.250 0.500
0.500 0.500 0.000
0.250 0.750 0.500


iv | Al2TlBr | Alexandria | PBE | optimized geometry; crystal system = tetragonal; spin magnetization = 0.00 μB per formula unit; volume = 98 Å³ per cell; density = 5.7 g/cm3; space-group type = P4/mmm, No. 123
1.0
5.478 0.000 0.000
0.000 5.478 0.000
0.000 0.000 3.268
Al Tl Br
2 1 1
direct
0.000 0.500 0.000
0.500 0.000 0.000
0.000 0.000 0.500
0.500 0.500 0.500


Taking the most stable structure as the zero point, the relative energies in meV/atom are i 0; ii 238; iii 182; iv 150.


i | Al2TlBr | Alexandria | PBE | optimized geometry; crystal system = cubic; spin magnetization = 0.00 μB per formula unit; volume = 97 Å³ per cell; density = 5.8 g/cm3; space-group type = Fm-3m, No. 225
1.0
0.000 3.647 3.647
3.647 0.000 3.647
3.647 3.647 0.000
Al Tl Br
2 1 1
direct
0.250 0.250 0.250
0.750 0.750 0.750
0.000 0.000 0.000
0.500 0.500 0.500


ii | Al2TlBr | Alexandria | PBE | optimized geometry; crystal system = orthorhombic; spin magnetization = 0.00 μB per formula unit; volume = 100 Å³ per cell; density = 5.6 g/cm3; space-group type = Imm2, No. 44
1.0
-1.672 2.903 5.151
1.672 -2.903 5.151
1.672 2.903 -5.151
Al Tl Br
2 1 1
direct
0.000 0.000 0.000
0.786 0.286 0.500
0.514 0.514 0.000
0.208 0.708 0.500


iii | Al2TlBr | Alexandria | PBE | optimized geometry; crystal system = tetragonal; spin magnetization = 0.00 μB per formula unit; volume = 261 Å³ per cell; density = 4.3 g/cm3; space-group type = I-42d, No. 122
1.0
-3.127 3.127 6.677
3.127 -3.127 6.677
3.127 3.127 -6.677
Al Tl Br
4 2 2
direct
0.096 0.625 0.971
0.375 0.346 0.471
0.654 0.125 0.029
0.875 0.904 0.529
0.000 0.000 0.000
0.750 0.250 0.500
0.250 0.750 0.500
0.500 0.500 0.000


iv | Al2TlBr | Alexandria | PBE | optimized geometry; crystal system = orthorhombic; spin magnetization = 0.00 μB per formula unit; volume = 116 Å³ per cell; density = 4.8 g/cm3; space-group type = Pmm2, No. 25
1.0
3.238 0.000 0.000
0.000 4.277 0.000
0.000 0.000 8.395
Al Tl Br
2 1 1
direct
0.000 0.000 0.000
0.500 0.500 0.084
0.000 0.000 0.632
0.500 0.500 0.378


Taking the most stable structure as the zero point, the relative energies in meV/atom are i 252; ii 79; iii 209; iv 0.


i | AlWBr2 | Alexandria | PBE | optimized geometry; crystal system = tetragonal; spin magnetization = 0.00 μB per formula unit; volume = 88 Å³ per cell; density = 7.0 g/cm3; space-group type = P4/mmm, No. 123
1.0
3.128 0.000 0.000
0.000 3.128 0.000
0.000 0.000 9.039
Al W Br
1 1 2
direct
0.000 0.000 0.000
0.000 0.000 0.500
0.500 0.500 0.320
0.500 0.500 0.680


ii | AlWBr2 | Alexandria | PBE | optimized geometry; crystal system = tetragonal; spin magnetization = 1.68 μB per formula unit; volume = 80 Å³ per cell; density = 7.7 g/cm3; space-group type = I-4m2, No. 119
1.0
-2.140 2.140 4.352
2.140 -2.140 4.352
2.140 2.140 -4.352
Al W Br
1 1 2
direct
0.000 0.000 0.000
0.750 0.250 0.500
0.250 0.750 0.500
0.500 0.500 0.000


Taking the most stable structure as the zero point, the relative energies in meV/atom are i 0; ii 318.


i | AlWBr2 | Alexandria | PBE | optimized geometry; crystal system = trigonal; spin magnetization = 0.00 μB per formula unit; volume = 96 Å³ per cell; density = 6.4 g/cm3; space-group type = R-3m, No. 166
1.0
1.597 0.922 10.918
-1.597 0.922 10.918
0.000 -1.844 10.918
Al W Br
1 1 2
direct
0.000 0.000 0.000
0.500 0.500 0.500
0.109 0.109 0.109
0.891 0.891 0.891


ii | AlWBr2 | Alexandria | PBE | optimized geometry; crystal system = monoclinic; spin magnetization = 0.64 μB per formula unit; volume = 111 Å³ per cell; density = 5.5 g/cm3; space-group type = Cm, No. 8
1.0
4.723 -1.566 0.000
4.723 1.566 0.000
-2.904 0.000 7.508
Al W Br
1 1 2
direct
0.000 0.000 0.000
0.254 0.254 0.928
0.651 0.651 0.657
0.784 0.784 0.213


Taking the most stable structure as the zero point, the relative energies in meV/atom are i 270; ii 0.


i | AlWBr | Alexandria | PBE | optimized geometry; crystal system = trigonal; spin magnetization = 0.00 μB per formula unit; volume = 60 Å³ per cell; density = 8.0 g/cm3; space-group type = P3m1, No. 156
1.0
3.019 0.000 0.000
-1.510 2.615 0.000
0.000 0.000 7.657
Al W Br
1 1 1
direct
0.000 0.000 0.000
0.333 0.667 0.712
0.667 0.333 0.458


ii | AlWBr | Alexandria | PBE | optimized geometry; crystal system = hexagonal; spin magnetization = 0.00 μB per formula unit; volume = 53 Å³ per cell; density = 9.2 g/cm3; space-group type = P-6m2, No. 187
1.0
4.552 0.000 0.000
-2.276 3.943 0.000
0.000 0.000 2.931
Al W Br
1 1 1
direct
0.000 0.000 0.000
0.667 0.333 0.500
0.333 0.667 0.500


Taking the most stable structure as the zero point, the relative energies in meV/atom are i 0; ii 241.


i | AlW2Br | Alexandria | PBE | optimized geometry; crystal system = tetragonal; spin magnetization = 0.00 μB per formula unit; volume = 68 Å³ per cell; density = 11.7 g/cm3; space-group type = P4/mmm, No. 123
1.0
2.838 0.000 0.000
0.000 2.838 0.000
0.000 0.000 8.394
Al W Br
1 2 1
direct
0.000 0.000 0.000
0.500 0.500 0.234
0.500 0.500 0.766
0.000 0.000 0.500


ii | AlW2Br | Alexandria | PBE | optimized geometry; crystal system = monoclinic; spin magnetization = 0.00 μB per formula unit; volume = 67 Å³ per cell; density = 11.7 g/cm3; space-group type = C2/m, No. 12
1.0
4.732 -1.432 0.000
4.732 1.432 0.000
-1.157 0.000 4.970
Al W Br
1 2 1
direct
0.000 0.000 0.000
0.262 0.262 0.761
0.738 0.738 0.239
0.500 0.500 0.500


Taking the most stable structure as the zero point, the relative energies in meV/atom are i 150; ii 0.


i | AlW2Br | Alexandria | PBE | optimized geometry; crystal system = monoclinic; spin magnetization = 0.00 μB per formula unit; volume = 68 Å³ per cell; density = 11.6 g/cm3; space-group type = Cm, No. 8
1.0
4.710 -1.542 0.000
4.710 1.542 0.000
-1.544 0.000 4.659
Al W Br
1 2 1
direct
0.000 0.000 0.000
0.255 0.255 0.864
0.527 0.527 0.537
0.771 0.771 0.307


ii | AlW2Br | Alexandria | PBE | optimized geometry; crystal system = tetragonal; spin magnetization = 0.00 μB per formula unit; volume = 69 Å³ per cell; density = 11.5 g/cm3; space-group type = I4/mmm, No. 139
1.0
-1.944 1.944 4.534
1.944 -1.944 4.534
1.944 1.944 -4.534
Al W Br
1 2 1
direct
0.000 0.000 0.000
0.250 0.750 0.500
0.750 0.250 0.500
0.500 0.500 0.000


Taking the most stable structure as the zero point, the relative energies in meV/atom are i 0; ii 457.


i | Al2WBr | Alexandria | PBE | optimized geometry; crystal system = monoclinic; spin magnetization = 0.00 μB per formula unit; volume = 70 Å³ per cell; density = 7.5 g/cm3; space-group type = Pm, No. 6
1.0
2.996 0.000 0.000
0.000 4.588 0.000
-1.490 0.000 5.107
Al W Br
2 1 1
direct
0.000 0.000 0.000
0.324 0.500 0.652
0.742 0.000 0.490
0.580 0.500 0.163


ii | Al2WBr | Alexandria | PBE | optimized geometry; crystal system = tetragonal; spin magnetization = 1.02 μB per formula unit; volume = 156 Å³ per cell; density = 6.8 g/cm3; space-group type = I-42d, No. 122
1.0
-3.677 3.677 2.885
3.677 -3.677 2.885
3.677 3.677 -2.885
Al W Br
4 2 2
direct
0.110 0.625 0.985
0.375 0.360 0.485
0.640 0.125 0.015
0.875 0.890 0.515
0.000 0.000 0.000
0.750 0.250 0.500
0.250 0.750 0.500
0.500 0.500 0.000


Taking the most stable structure as the zero point, the relative energies in meV/atom are i 0; ii 532.


i | Al2WBr | Alexandria | PBE | optimized geometry; crystal system = orthorhombic; spin magnetization = 0.00 μB per formula unit; volume = 79 Å³ per cell; density = 6.7 g/cm3; space-group type = Cmm2, No. 35
1.0
1.483 -2.640 0.000
1.483 2.640 0.000
0.000 0.000 10.108
Al W Br
2 1 1
direct
0.000 0.000 0.000
0.500 0.500 0.234
0.500 0.500 0.777
0.000 0.000 0.567


ii | Al2WBr | Alexandria | PBE | optimized geometry; crystal system = tetragonal; spin magnetization = 0.00 μB per formula unit; volume = 76 Å³ per cell; density = 6.9 g/cm3; space-group type = P4mm, No. 99
1.0
3.054 0.000 0.000
0.000 3.054 0.000
0.000 0.000 8.164
Al W Br
2 1 1
direct
0.000 0.000 0.000
0.500 0.500 0.219
0.500 0.500 0.797
0.000 0.000 0.583


iii | Al2WBr | Alexandria | PBE | optimized geometry; crystal system = cubic; spin magnetization = 0.00 μB per formula unit; volume = 71 Å³ per cell; density = 7.5 g/cm3; space-group type = Fm-3m, No. 225
1.0
0.000 3.282 3.282
3.282 0.000 3.282
3.282 3.282 0.000
Al W Br
2 1 1
direct
0.250 0.250 0.250
0.750 0.750 0.750
0.000 0.000 0.000
0.500 0.500 0.500


iv | Al2WBr | Alexandria | PBE | optimized geometry; crystal system = orthorhombic; spin magnetization = 0.16 μB per formula unit; volume = 70 Å³ per cell; density = 7.5 g/cm3; space-group type = Pmmm, No. 47
1.0
2.909 0.000 0.000
0.000 4.789 0.000
0.000 0.000 5.038
Al W Br
2 1 1
direct
0.000 0.000 0.000
0.500 0.500 0.000
0.000 0.500 0.500
0.500 0.000 0.500


Taking the most stable structure as the zero point, the relative energies in meV/atom are i 28; ii 0; iii 480; iv 253.


i | Al3WBr | Alexandria | PBE | optimized geometry; crystal system = cubic; spin magnetization = 2.21 μB per formula unit; volume = 130 Å³ per cell; density = 4.4 g/cm3; space-group type = Pm-3m, No. 221
1.0
5.072 0.000 0.000
0.000 5.072 0.000
0.000 0.000 5.072
Al W Br
3 1 1
direct
0.000 0.000 0.500
0.000 0.500 0.000
0.500 0.000 0.000
0.000 0.000 0.000
0.500 0.500 0.500


ii | Al3WBr | Alexandria | PBE | optimized geometry; crystal system = cubic; spin magnetization = 1.72 μB per formula unit; volume = 108 Å³ per cell; density = 5.3 g/cm3; space-group type = Pm-3m, No. 221
1.0
4.760 0.000 0.000
0.000 4.760 0.000
0.000 0.000 4.760
Al W Br
3 1 1
direct
0.000 0.000 0.500
0.000 0.500 0.000
0.500 0.000 0.000
0.500 0.500 0.500
0.000 0.000 0.000


Taking the most stable structure as the zero point, the relative energies in meV/atom are i 0; ii 870.


i | Al2WBr2 | Alexandria | PBE | optimized geometry; crystal system = tetragonal; spin magnetization = 0.20 μB per formula unit; volume = 131 Å³ per cell; density = 5.0 g/cm3; space-group type = I4/mmm, No. 139
1.0
-1.813 1.813 9.995
1.813 -1.813 9.995
1.813 1.813 -9.995
Al W Br
2 1 2
direct
0.062 0.062 0.000
0.938 0.938 0.000
0.500 0.500 0.000
0.250 0.750 0.500
0.750 0.250 0.500


ii | Al2WBr2 | Alexandria | PBE | optimized geometry; crystal system = tetragonal; spin magnetization = 2.93 μB per formula unit; volume = 246 Å³ per cell; density = 5.4 g/cm3; space-group type = P4/mbm, No. 127
1.0
6.950 0.000 0.000
0.000 6.950 0.000
0.000 0.000 5.096
Al W Br
4 2 4
direct
0.139 0.361 0.000
0.361 0.861 0.000
0.639 0.139 0.000
0.861 0.639 0.000
0.000 0.000 0.000
0.500 0.500 0.000
0.201 0.299 0.500
0.299 0.799 0.500
0.701 0.201 0.500
0.799 0.701 0.500


Taking the most stable structure as the zero point, the relative energies in meV/atom are i 141; ii 0.